(1)
Compound: La12SmY7
Source: the Alexandria database
Functional: PBE
Structure: relaxed Values from VASP.

Calculated values
* VASP energy: -5.24 eV per atom
* spin magnetization: 0.0 Bohr magnetons per cell
* space-group type: R-3, No. 148
* D(E_F): 1.3944 states/eV/atom

Cell and atoms, written as Quantum ESPRESSO input:
```
&SYSTEM
  ibrav = 0, nat = 20, ntyp = 3
/
ATOMIC_SPECIES
La 138.91 La.upf
Sm 150.36 Sm.upf
Y 88.91 Y.upf
ATOMIC_POSITIONS crystal
La 0.000 0.408 0.592
La 0.000 0.592 0.408
La 0.073 0.073 0.430
La 0.073 0.430 0.073
La 0.408 0.000 0.592
La 0.408 0.592 0.000
La 0.430 0.073 0.073
La 0.570 0.927 0.927
La 0.592 0.000 0.408
La 0.592 0.408 0.000
La 0.927 0.570 0.927
La 0.927 0.927 0.570
Sm 0.500 0.500 0.500
Y 0.000 0.000 0.000
Y 0.133 0.381 0.382
Y 0.381 0.382 0.133
Y 0.382 0.133 0.381
Y 0.618 0.867 0.619
Y 0.619 0.618 0.867
Y 0.867 0.619 0.618
CELL_PARAMETERS angstrom
9.853 5.689 2.128
-9.853 5.689 2.128
0.000 -11.377 2.128
```

***

(2)
Compound: Ac8GaRu3Cl4
Source: the Alexandria database
Functional: PBE
Structure: relaxed Values from VASP.

Calculated values
* spin magnetization: 0.0 Bohr magnetons per cell
* space-group type: C2/m, No. 12
* D(E_F): 0.3534 states/eV/atom
* energy relative to the elements, uncorrected: -961 meV/atom

Cell and atoms, written as Quantum ESPRESSO input:
```
&SYSTEM
  ibrav = 0, nat = 16, ntyp = 4
/
ATOMIC_SPECIES
Ac 227.00 Ac.upf
Ga 69.72 Ga.upf
Ru 101.07 Ru.upf
Cl 35.45 Cl.upf
ATOMIC_POSITIONS crystal
Ac 0.216 0.743 0.701
Ac 0.238 0.238 0.713
Ac 0.257 0.257 0.299
Ac 0.257 0.784 0.299
Ac 0.743 0.216 0.701
Ac 0.743 0.743 0.701
Ac 0.762 0.762 0.287
Ac 0.784 0.257 0.299
Ga 0.500 0.500 0.500
Ru 0.000 0.000 0.500
Ru 0.000 0.500 0.500
Ru 0.500 0.000 0.500
Cl 0.000 0.000 0.000
Cl 0.000 0.500 0.000
Cl 0.500 0.000 0.000
Cl 0.500 0.500 0.000
CELL_PARAMETERS angstrom
7.581 -4.378 0.000
7.581 4.378 0.000
-5.061 0.000 7.906
```

***

(3)
Compound: Zn2NiPb
Source: the Alexandria database
Functional: PBE
Structure: relaxed Values from VASP.

Calculated values
* VASP energy: -2.79 eV per atom
* spin magnetization: 0.0 Bohr magnetons per cell
* space-group type: I-4m2, No. 119
* D(E_F): 0.4912 states/eV/atom

Cell and atoms, written as Quantum ESPRESSO input:
```
&SYSTEM
  ibrav = 0, nat = 4, ntyp = 3
/
ATOMIC_SPECIES
Zn 65.41 Zn.upf
Ni 58.69 Ni.upf
Pb 207.20 Pb.upf
ATOMIC_POSITIONS crystal
Zn 0.000 0.000 0.000
Zn 0.750 0.250 0.500
Ni 0.250 0.750 0.500
Pb 0.500 0.500 0.000
CELL_PARAMETERS angstrom
-2.061 2.061 4.048
2.061 -2.061 4.048
2.061 2.061 -4.048
```